No. 1
Material: AcZn3Ru
Method: DFT, PBE-GGA
State: relaxed

Crystal system: cubic

Cell lengths 4.8359, 4.8359, 4.8359 Å; angles 90.00, 90.00, 90.00 degrees
Positions (direct):
Ac: 0.0000 0.0000 0.0000
Zn: 0.0000 0.5000 0.5000
Zn: 0.5000 0.0000 0.5000
Zn: 0.5000 0.5000 0.0000
Ru: 0.5000 0.5000 0.5000

No. 2
Material: Ac6ZnRu3
Method: DFT, PBE-GGA
State: relaxed

Crystal system: monoclinic

Cell lengths 12.5935, 4.3577, 12.7982 Å; angles 90.00, 110.86, 90.00 degrees
Positions (direct):
Ac: 0.0389 0.2500 0.3788
Ac: 0.1009 0.7500 0.9466
Ac: 0.2461 0.2500 0.7859
Ac: 0.2525 0.7500 0.2721
Ac: 0.4143 0.2500 0.5693
Ac: 0.4432 0.2500 0.1103
Ac: 0.5568 0.7500 0.8897
Ac: 0.5857 0.7500 0.4307
Ac: 0.7475 0.2500 0.7279
Ac: 0.7539 0.7500 0.2141
Ac: 0.8991 0.2500 0.0534
Ac: 0.9611 0.7500 0.6212
Zn: 0.2081 0.7500 0.5642
Zn: 0.7919 0.2500 0.4358
Ru: 0.0079 0.7500 0.2167
Ru: 0.3302 0.7500 0.9478
Ru: 0.4124 0.2500 0.3361
Ru: 0.5876 0.7500 0.6639
Ru: 0.6698 0.2500 0.0522
Ru: 0.9921 0.2500 0.7833

No. 3
Material: Ac2ZnRu2
Method: DFT, PBE-GGA
State: relaxed

Crystal system: orthorhombic

Cell lengths 5.8504, 5.8504, 5.8504 Å; angles 138.15, 115.11, 80.26 degrees
Positions (direct):
Ac: 0.2012 0.2012 0.0000
Ac: 0.7988 0.7988 0.0000
Zn: 0.5000 0.0000 0.5000
Ru: 0.2483 0.5000 0.7483
Ru: 0.7517 0.5000 0.2517

No. 4
Material: Ac2Zn6Ru3
Method: DFT, PBE-GGA
State: relaxed

Crystal system: hexagonal

Cell lengths 7.7819, 7.7819, 4.1373 Å; angles 90.00, 90.00, 120.00 degrees
Positions (direct):
Ac: 0.3333 0.6667 0.0000
Ac: 0.6667 0.3333 0.0000
Zn: 0.0000 0.2684 0.5000
Zn: 0.0000 0.8067 0.0000
Zn: 0.1933 0.1933 0.0000
Zn: 0.2684 0.0000 0.5000
Zn: 0.7316 0.7316 0.5000
Zn: 0.8067 0.0000 0.0000
Ru: 0.0000 0.6158 0.5000
Ru: 0.3842 0.3842 0.5000
Ru: 0.6158 0.0000 0.5000

No. 5
Material: Ac4Zn5Ru2
Method: DFT, PBE-GGA
State: relaxed

Crystal system: monoclinic

Cell lengths 7.3240, 4.4580, 8.9336 Å; angles 90.00, 93.67, 90.00 degrees
Positions (direct):
Ac: 0.2099 0.0000 0.1609
Ac: 0.2446 0.0000 0.6222
Ac: 0.7554 0.0000 0.3778
Ac: 0.7901 0.0000 0.8391
Zn: 0.1477 0.5000 0.8860
Zn: 0.4000 0.5000 0.3776
Zn: 0.5000 0.5000 0.0000
Zn: 0.6000 0.5000 0.6224
Zn: 0.8523 0.5000 0.1140
Ru: 0.0425 0.5000 0.3663
Ru: 0.9575 0.5000 0.6337

No. 6
Material: Ac8ZnRu2
Method: DFT, PBE-GGA
State: relaxed

Crystal system: monoclinic

Cell lengths 8.3968, 8.3968, 6.1707 Å; angles 96.19, 96.19, 83.80 degrees
Positions (direct):
Ac: 0.1279 0.1279 0.7262
Ac: 0.1334 0.6332 0.7648
Ac: 0.3409 0.3409 0.3287
Ac: 0.3668 0.8666 0.2352
Ac: 0.6332 0.1334 0.7648
Ac: 0.6591 0.6591 0.6713
Ac: 0.8666 0.3668 0.2352
Ac: 0.8721 0.8721 0.2738
Zn: 0.5000 0.5000 0.0000
Ru: 0.0996 0.0996 0.1951
Ru: 0.9004 0.9004 0.8049

No. 7
Material: Ac8ZnRu2
Method: DFT, PBE-GGA
State: relaxed

Crystal system: monoclinic

Cell lengths 9.3071, 9.3071, 6.8663 Å; angles 107.69, 107.69, 47.60 degrees
Positions (direct):
Ac: 0.0809 0.0809 0.2598
Ac: 0.1206 0.6133 0.1821
Ac: 0.3050 0.3050 0.6440
Ac: 0.3867 0.8794 0.8179
Ac: 0.6133 0.1206 0.1821
Ac: 0.6950 0.6950 0.3560
Ac: 0.8794 0.3867 0.8179
Ac: 0.9191 0.9191 0.7402
Zn: 0.5000 0.5000 0.0000
Ru: 0.2312 0.2312 0.1722
Ru: 0.7688 0.7688 0.8278

No. 8
Material: Ac3Zn3Ru2
Method: DFT, PBE-GGA
State: relaxed

Crystal system: orthorhombic

Cell lengths 5.9890, 5.9890, 16.7740 Å; angles 90.00, 90.00, 138.78 degrees
Positions (direct):
Ac: 0.0601 0.9399 0.6040
Ac: 0.0601 0.9399 0.8960
Ac: 0.3391 0.6609 0.7500
Ac: 0.6609 0.3391 0.2500
Ac: 0.9399 0.0601 0.1040
Ac: 0.9399 0.0601 0.3960
Zn: 0.3282 0.6718 0.5329
Zn: 0.3282 0.6718 0.9671
Zn: 0.3650 0.6350 0.2500
Zn: 0.6350 0.3650 0.7500
Zn: 0.6718 0.3282 0.0329
Zn: 0.6718 0.3282 0.4671
Ru: 0.2344 0.7656 0.1177
Ru: 0.2344 0.7656 0.3823
Ru: 0.7656 0.2344 0.6177
Ru: 0.7656 0.2344 0.8823

No. 9
Material: Ac6Zn2Ru
Method: DFT, PBE-GGA
State: relaxed

Crystal system: monoclinic

Cell lengths 7.4065, 8.0149, 13.0902 Å; angles 90.00, 121.61, 90.00 degrees
Positions (direct):
Ac: 0.1156 0.0316 0.2493
Ac: 0.1156 0.4684 0.7493
Ac: 0.2385 0.6880 0.0626
Ac: 0.2385 0.8120 0.5626
Ac: 0.3721 0.1926 0.0591
Ac: 0.3721 0.3074 0.5591
Ac: 0.6279 0.6926 0.4409
Ac: 0.6279 0.8074 0.9409
Ac: 0.7615 0.1880 0.4374
Ac: 0.7615 0.3120 0.9374
Ac: 0.8844 0.5316 0.2507
Ac: 0.8844 0.9684 0.7507
Zn: 0.3155 0.1005 0.7633
Zn: 0.3155 0.3995 0.2633
Zn: 0.6845 0.6005 0.7367
Zn: 0.6845 0.8995 0.2367
Ru: 0.0000 0.0000 0.0000
Ru: 0.0000 0.5000 0.5000

No. 10
Material: Ac3Zn2Ru
Method: DFT, PBE-GGA
State: relaxed

Crystal system: orthorhombic

Cell lengths 12.8812, 4.3399, 12.8765 Å; angles 90.00, 90.00, 90.00 degrees
Positions (direct):
Ac: 0.0499 0.2500 0.1291
Ac: 0.1166 0.7500 0.5498
Ac: 0.2281 0.2500 0.7905
Ac: 0.2719 0.7500 0.2905
Ac: 0.3834 0.2500 0.0498
Ac: 0.4501 0.7500 0.6291
Ac: 0.5499 0.2500 0.3709
Ac: 0.6166 0.7500 0.9502
Ac: 0.7281 0.2500 0.7095
Ac: 0.7719 0.7500 0.2095
Ac: 0.8834 0.2500 0.4502
Ac: 0.9501 0.7500 0.8709
Zn: 0.0221 0.7500 0.3147
Zn: 0.1980 0.7500 0.9861
Zn: 0.3020 0.2500 0.4861
Zn: 0.4779 0.2500 0.8147
Zn: 0.5221 0.7500 0.1853
Zn: 0.6980 0.7500 0.5139
Zn: 0.8020 0.2500 0.0139
Zn: 0.9779 0.2500 0.6853
Ru: 0.1272 0.2500 0.3707
Ru: 0.3728 0.7500 0.8707
Ru: 0.6272 0.2500 0.1293
Ru: 0.8728 0.7500 0.6293

No. 11
Material: AcZn3Ru
Method: DFT, PBE-GGA
State: relaxed

Crystal system: orthorhombic

Cell lengths 4.4871, 6.3231, 6.3231 Å; angles 41.99, 90.00, 90.00 degrees
Positions (direct):
Ac: 0.0000 0.0000 0.0000
Zn: 0.0000 0.7211 0.7211
Zn: 0.5000 0.2052 0.2052
Zn: 0.5000 0.4204 0.4204
Ru: 0.0000 0.3137 0.3137

No. 12
Material: AcZnRu
Method: DFT, PBE-GGA
State: relaxed

Crystal system: orthorhombic

Cell lengths 4.3745, 4.3745, 17.0345 Å; angles 90.00, 90.00, 119.36 degrees
Positions (direct):
Ac: 0.0000 0.0000 0.0000
Ac: 0.9999 0.0001 0.2500
Ac: 0.0000 0.0000 0.5000
Ac: 0.0001 0.9999 0.7500
Zn: 0.3354 0.6646 0.6244
Zn: 0.3354 0.6646 0.8756
Zn: 0.6646 0.3354 0.1244
Zn: 0.6646 0.3354 0.3756
Ru: 0.3289 0.6711 0.1254
Ru: 0.3289 0.6711 0.3746
Ru: 0.6711 0.3289 0.6254
Ru: 0.6711 0.3289 0.8746

No. 13
Material: Ac2Zn3Ru2
Method: DFT, PBE-GGA
State: relaxed

Crystal system: monoclinic

Cell lengths 6.0635, 6.0635, 6.8384 Å; angles 96.05, 96.05, 42.24 degrees
Positions (direct):
Ac: 0.1620 0.1620 0.1962
Ac: 0.8380 0.8380 0.8038
Zn: 0.1090 0.1090 0.6979
Zn: 0.5000 0.5000 0.5000
Zn: 0.8910 0.8910 0.3021
Ru: 0.4395 0.4395 0.1319
Ru: 0.5605 0.5605 0.8681

No. 14
Material: AcZn2Ru
Method: DFT, PBE-GGA
State: relaxed

Crystal system: trigonal

Cell lengths 5.9455, 5.9455, 5.9455 Å; angles 43.08, 43.08, 43.08 degrees
Positions (direct):
Ac: 0.0000 0.0000 0.0000
Zn: 0.2005 0.2005 0.2005
Zn: 0.7995 0.7995 0.7995
Ru: 0.5000 0.5000 0.5000

No. 15
Material: Ac5ZnRu2
Method: DFT, PBE-GGA
State: relaxed

Crystal system: tetragonal

Cell lengths 9.3790, 9.3790, 9.3790 Å; angles 127.26, 127.26, 77.82 degrees
Positions (direct):
Ac: 0.0000 0.0000 0.0000
Ac: 0.0289 0.5289 0.8220
Ac: 0.2068 0.0289 0.5000
Ac: 0.2932 0.7932 0.8220
Ac: 0.4711 0.2932 0.5000
Ac: 0.5000 0.5000 0.0000
Ac: 0.5289 0.7068 0.5000
Ac: 0.7068 0.2068 0.1780
Ac: 0.7932 0.9711 0.5000
Ac: 0.9711 0.4711 0.1780
Zn: 0.2500 0.2500 0.0000
Zn: 0.7500 0.7500 0.0000
Ru: 0.1407 0.3593 0.5000
Ru: 0.3593 0.8593 0.2187
Ru: 0.6407 0.1407 0.7813
Ru: 0.8593 0.6407 0.5000

No. 16
Material: Ac3Zn2Ru3
Method: DFT, PBE-GGA
State: relaxed

Crystal system: orthorhombic

Cell lengths 6.0946, 6.0946, 15.4696 Å; angles 90.00, 90.00, 136.65 degrees
Positions (direct):
Ac: 0.0772 0.9228 0.7500
Ac: 0.3603 0.6397 0.6001
Ac: 0.3603 0.6397 0.8999
Ac: 0.6397 0.3603 0.1001
Ac: 0.6397 0.3603 0.3999
Ac: 0.9228 0.0772 0.2500
Zn: 0.3465 0.6535 0.1103
Zn: 0.3465 0.6535 0.3897
Zn: 0.6535 0.3465 0.6103
Zn: 0.6535 0.3465 0.8897
Ru: 0.0713 0.9287 0.5573
Ru: 0.0713 0.9287 0.9427
Ru: 0.2148 0.7852 0.2500
Ru: 0.7852 0.2148 0.7500
Ru: 0.9287 0.0713 0.0573
Ru: 0.9287 0.0713 0.4427

No. 17
Material: AcZn2Ru
Method: DFT, PBE-GGA
State: relaxed

Crystal system: orthorhombic

Cell lengths 15.6468, 7.3586, 5.8908 Å; angles 90.00, 90.00, 90.00 degrees
Positions (direct):
Ac: 0.0983 0.2500 0.2334
Ac: 0.1418 0.7500 0.0446
Ac: 0.3582 0.2500 0.5446
Ac: 0.4017 0.7500 0.7334
Ac: 0.5983 0.2500 0.2666
Ac: 0.6418 0.7500 0.4554
Ac: 0.8582 0.2500 0.9554
Ac: 0.9017 0.7500 0.7666
Zn: 0.0517 0.0667 0.7162
Zn: 0.0517 0.4333 0.7162
Zn: 0.2048 0.5512 0.5635
Zn: 0.2048 0.9488 0.5635
Zn: 0.2952 0.0512 0.0635
Zn: 0.2952 0.4488 0.0635
Zn: 0.4483 0.5667 0.2162
Zn: 0.4483 0.9333 0.2162
Zn: 0.5517 0.0667 0.7838
Zn: 0.5517 0.4333 0.7838
Zn: 0.7048 0.5512 0.9365
Zn: 0.7048 0.9488 0.9365
Zn: 0.7952 0.0512 0.4365
Zn: 0.7952 0.4488 0.4365
Zn: 0.9483 0.5667 0.2838
Zn: 0.9483 0.9333 0.2838
Ru: 0.0665 0.7500 0.4987
Ru: 0.1945 0.2500 0.8176
Ru: 0.3055 0.7500 0.3176
Ru: 0.4335 0.2500 0.9987
Ru: 0.5665 0.7500 0.0013
Ru: 0.6945 0.2500 0.6824
Ru: 0.8055 0.7500 0.1824
Ru: 0.9335 0.2500 0.5013

No. 18
Material: Ac3Zn4Ru4
Method: DFT, PBE-GGA
State: relaxed

Crystal system: cubic

Cell lengths 6.7701, 6.7701, 6.7701 Å; angles 109.47, 109.47, 109.47 degrees
Positions (direct):
Ac: 0.0000 0.5000 0.5000
Ac: 0.5000 0.0000 0.5000
Ac: 0.5000 0.5000 0.0000
Zn: 0.0000 0.0000 0.2380
Zn: 0.0000 0.2380 0.0000
Zn: 0.2380 0.0000 0.0000
Zn: 0.7620 0.7620 0.7620
Ru: 0.0000 0.0000 0.6021
Ru: 0.0000 0.6021 0.0000
Ru: 0.3979 0.3979 0.3979
Ru: 0.6021 0.0000 0.0000

No. 19
Material: AcZnRu
Method: DFT, PBE-GGA
State: relaxed

Crystal system: monoclinic

Cell lengths 6.1400, 6.1400, 4.9742 Å; angles 113.83, 113.83, 66.98 degrees
Positions (direct):
Ac: 0.0000 0.5000 0.0000
Ac: 0.5000 0.0000 0.5000
Zn: 0.1510 0.8490 0.7500
Zn: 0.8490 0.1510 0.2500
Ru: 0.5000 0.5000 0.0000
Ru: 0.5000 0.5000 0.5000

We obtain formation enthalpy at 0 K values of -0.141, -0.144, -0.166, -0.080, -0.203, -0.030, -0.085, -0.210, -0.137, -0.228, 0.002, -0.150, -0.219, -0.132, -0.188, -0.100, -0.230, 0.081, -0.125 eV/atom for the records listed above, in that order.
We obtain final energy values of -3.582, -5.519, -5.775, -4.051, -3.962, -4.821, -4.875, -4.547, -4.190, -4.252, -3.439, -5.036, -4.589, -4.115, -5.234, -5.438, -4.213, -4.876, -5.011 eV/atom for the records listed above, in that order.
We obtain D(E_F) values of 3.45, 7.19, 2.59, 8.32, 8.83, 14.36, 12.20, 6.75, 10.92, 7.02, 3.37, 2.78, 4.08, 3.56, 7.18, 7.96, 2.64, 7.35, 1.77 states/eV/f.u. for the records listed above, in that order.